{"formula": "Pr2BiTe", "functional": "PBE-GGA", "state": "relaxed", "lattice_angstrom": [[-3.246, 3.246, 6.488], [3.246, -3.246, 6.488], [3.246, 3.246, -6.488]], "species": ["Pr", "Pr", "Pr", "Pr", "Bi", "Bi", "Te", "Te"], "fractional_positions": [[0.124, 0.374, 0.750], [0.374, 0.124, 0.250], [0.626, 0.876, 0.750], [0.876, 0.626, 0.250], [0.125, 0.875, 0.250], [0.875, 0.125, 0.750], [0.375, 0.625, 0.750], [0.625, 0.375, 0.250]], "e_tot_ev_per_atom": -5.372, "total_magnetization_mub_per_cell": 0.000, "e_form_raw_mev_per_atom": -1226.9, "de_polymorph_mev_per_atom": 0, "mass_density_g_cm3": 7.5, "dos_ef_per_ev_cell": 3.09, "sg": "No. 141"}

---

{"formula": "Pr5Bi4Te", "functional": "PBE-GGA", "state": "relaxed", "lattice_angstrom": [[-2.311, 2.311, 16.331], [2.311, -2.311, 16.331], [2.311, 2.311, -16.331]], "species": ["Pr", "Pr", "Pr", "Pr", "Pr", "Bi", "Bi", "Bi", "Bi", "Te"], "fractional_positions": [[0.000, 0.000, 0.000], [0.200, 0.200, 0.000], [0.400, 0.400, 0.000], [0.600, 0.600, 0.000], [0.800, 0.800, 0.000], [0.099, 0.099, 0.000], [0.300, 0.300, 0.000], [0.700, 0.700, 0.000], [0.901, 0.901, 0.000], [0.500, 0.500, 0.000]], "e_tot_ev_per_atom": -5.326, "total_magnetization_mub_per_cell": 0.000, "e_form_raw_mev_per_atom": -1070.0, "de_polymorph_mev_per_atom": 8, "mass_density_g_cm3": 7.9, "dos_ef_per_ev_cell": 2.71, "sg": "No. 139"}

---

{"formula": "Pr2BiTe", "functional": "PBE-GGA", "state": "relaxed", "lattice_angstrom": [[5.676, 0.000, 0.000], [0.000, 5.676, 0.000], [0.000, 0.000, 3.863]], "species": ["Pr", "Pr", "Bi", "Te"], "fractional_positions": [[0.000, 0.500, 0.000], [0.500, 0.000, 0.000], [0.000, 0.000, 0.500], [0.500, 0.500, 0.500]], "e_tot_ev_per_atom": -5.166, "total_magnetization_mub_per_cell": 0.707, "e_form_raw_mev_per_atom": -1020.2, "de_polymorph_mev_per_atom": 207, "mass_density_g_cm3": 8.3, "dos_ef_per_ev_cell": 3.37, "sg": "No. 123"}

---

{"formula": "PrThBiTe2", "functional": "PBE-GGA", "state": "relaxed", "lattice_angstrom": [[-2.344, 2.344, 7.810], [2.344, -2.344, 7.810], [2.344, 2.344, -7.810]], "species": ["Pr", "Th", "Bi", "Te", "Te"], "fractional_positions": [[0.000, 0.000, 0.000], [0.229, 0.229, 0.000], [0.624, 0.624, 0.000], [0.362, 0.862, 0.500], [0.862, 0.362, 0.500]], "e_tot_ev_per_atom": -5.144, "total_magnetization_mub_per_cell": 0.257, "e_form_raw_mev_per_atom": -671.2, "mass_density_g_cm3": 8.1, "dos_ef_per_ev_cell": 3.80, "sg": "No. 107"}

---

{"formula": "PrTh2Bi2Te2", "functional": "PBE-GGA", "state": "relaxed", "lattice_angstrom": [[-3.068, 3.068, 7.615], [3.068, -3.068, 7.615], [3.068, 3.068, -7.615]], "species": ["Pr", "Th", "Th", "Bi", "Bi", "Te", "Te"], "fractional_positions": [[0.000, 0.000, 0.000], [0.396, 0.396, 0.000], [0.604, 0.604, 0.000], [0.000, 0.500, 0.500], [0.500, 0.000, 0.500], [0.205, 0.205, 0.000], [0.795, 0.795, 0.000]], "e_tot_ev_per_atom": -5.193, "total_magnetization_mub_per_cell": 0.907, "e_form_raw_mev_per_atom": -383.7, "mass_density_g_cm3": 7.4, "dos_ef_per_ev_cell": 3.22, "sg": "No. 139"}

---

{"formula": "Pr2ThBi2Te2", "functional": "PBE-GGA", "state": "relaxed", "lattice_angstrom": [[-3.063, 3.063, 7.837], [3.063, -3.063, 7.837], [3.063, 3.063, -7.837]], "species": ["Pr", "Pr", "Th", "Bi", "Bi", "Te", "Te"], "fractional_positions": [[0.115, 0.115, 0.000], [0.885, 0.885, 0.000], [0.500, 0.500, 0.000], [0.000, 0.500, 0.500], [0.500, 0.000, 0.500], [0.304, 0.304, 0.000], [0.696, 0.696, 0.000]], "e_tot_ev_per_atom": -5.048, "total_magnetization_mub_per_cell": 0.000, "e_form_raw_mev_per_atom": -615.8, "mass_density_g_cm3": 6.7, "dos_ef_per_ev_cell": 0.65, "sg": "No. 139"}

---

{"formula": "Pr2Tl3BiTe6", "functional": "PBE-GGA", "state": "relaxed", "lattice_angstrom": [[3.982, -6.904, 0.000], [3.982, 6.904, 0.000], [-2.661, 0.000, 8.116]], "species": ["Pr", "Pr", "Tl", "Tl", "Tl", "Bi", "Te", "Te", "Te", "Te", "Te", "Te"], "fractional_positions": [[0.166, 0.834, 0.000], [0.834, 0.166, 0.000], [0.000, 0.000, 0.500], [0.330, 0.670, 0.500], [0.670, 0.330, 0.500], [0.500, 0.500, 0.000], [0.097, 0.427, 0.780], [0.245, 0.245, 0.224], [0.427, 0.097, 0.780], [0.573, 0.903, 0.220], [0.755, 0.755, 0.776], [0.903, 0.573, 0.220]], "e_tot_ev_per_atom": -4.095, "total_magnetization_mub_per_cell": 0.000, "e_form_raw_mev_per_atom": -812.3, "mass_density_g_cm3": 7.0, "sg": "No. 12"}

---

{"formula": "Pr6Tl2BiTe3", "functional": "PBE-GGA", "state": "relaxed", "lattice_angstrom": [[10.058, -2.239, 0.000], [10.058, 2.239, 0.000], [-2.521, 0.000, 8.976]], "species": ["Pr", "Pr", "Pr", "Pr", "Pr", "Pr", "Tl", "Tl", "Bi", "Te", "Te", "Te"], "fractional_positions": [[0.003, 0.003, 0.251], [0.333, 0.333, 0.912], [0.335, 0.335, 0.409], [0.665, 0.665, 0.591], [0.667, 0.667, 0.088], [0.997, 0.997, 0.749], [0.170, 0.170, 0.342], [0.830, 0.830, 0.658], [0.500, 0.500, 0.000], [0.164, 0.164, 0.838], [0.500, 0.500, 0.500], [0.836, 0.836, 0.162]], "e_tot_ev_per_atom": -4.896, "total_magnetization_mub_per_cell": 0.000, "e_form_raw_mev_per_atom": -1003.0, "mass_density_g_cm3": 7.6, "dos_ef_per_ev_cell": 6.54, "sg": "No. 12"}

---

{"formula": "Pr8TlBi3Te4", "functional": "PBE-GGA", "state": "relaxed", "lattice_angstrom": [[4.593, 2.652, 7.463], [-4.593, 2.652, 7.463], [0.000, -5.304, 7.463]], "species": ["Pr", "Pr", "Pr", "Pr", "Pr", "Pr", "Pr", "Pr", "Tl", "Bi", "Bi", "Bi", "Te", "Te", "Te", "Te"], "fractional_positions": [[0.249, 0.249, 0.249], [0.253, 0.746, 0.746], [0.254, 0.254, 0.747], [0.254, 0.747, 0.254], [0.746, 0.253, 0.746], [0.746, 0.746, 0.253], [0.747, 0.254, 0.254], [0.751, 0.751, 0.751], [0.500, 0.500, 0.500], [0.000, 0.000, 0.500], [0.000, 0.500, 0.000], [0.500, 0.000, 0.000], [0.000, 0.000, 0.000], [0.000, 0.500, 0.500], [0.500, 0.000, 0.500], [0.500, 0.500, 0.000]], "e_tot_ev_per_atom": -5.200, "total_magnetization_mub_per_cell": 0.000, "e_form_raw_mev_per_atom": -1149.4, "mass_density_g_cm3": 7.5, "dos_ef_per_ev_cell": 3.47, "sg": "No. 166"}

---

{"formula": "PrTmBiTe", "functional": "PBE-GGA", "state": "relaxed", "lattice_angstrom": [[2.239, 1.293, 7.329], [-2.239, 1.293, 7.329], [0.000, -2.585, 7.329]], "species": ["Pr", "Tm", "Bi", "Te"], "fractional_positions": [[0.000, 0.000, 0.000], [0.499, 0.499, 0.499], [0.755, 0.755, 0.755], [0.244, 0.244, 0.244]], "e_tot_ev_per_atom": -5.177, "total_magnetization_mub_per_cell": 0.000, "e_form_raw_mev_per_atom": -1108.1, "mass_density_g_cm3": 8.4, "dos_ef_per_ev_cell": 1.91, "sg": "No. 160"}

---

{"formula": "PrYBiTe", "functional": "PBE-GGA", "state": "relaxed", "lattice_angstrom": [[2.256, 1.303, 7.355], [-2.256, 1.303, 7.355], [0.000, -2.605, 7.355]], "species": ["Pr", "Y", "Bi", "Te"], "fractional_positions": [[0.000, 0.000, 0.000], [0.499, 0.499, 0.499], [0.753, 0.753, 0.753], [0.245, 0.245, 0.245]], "e_tot_ev_per_atom": -5.738, "total_magnetization_mub_per_cell": 0.000, "e_form_raw_mev_per_atom": -1171.4, "mass_density_g_cm3": 7.3, "dos_ef_per_ev_cell": 1.87, "sg": "No. 160"}

---

{"formula": "PrThBi6", "functional": "PBE-GGA", "state": "relaxed", "lattice_angstrom": [[4.718, 0.000, 0.000], [0.000, 2.313, 11.943], [0.000, -2.313, 11.943]], "species": ["Pr", "Th", "Bi", "Bi", "Bi", "Bi", "Bi", "Bi"], "fractional_positions": [[0.000, 0.000, 0.000], [0.500, 0.347, 0.347], [0.000, 0.238, 0.238], [0.000, 0.615, 0.615], [0.000, 0.863, 0.863], [0.500, 0.109, 0.109], [0.500, 0.486, 0.486], [0.500, 0.738, 0.738]], "e_tot_ev_per_atom": -4.775, "total_magnetization_mub_per_cell": 0.000, "mass_density_g_cm3": 10.4, "dos_ef_per_ev_cell": 5.56, "sg": "No. 38"}

---

{"formula": "Pr4ThBi5", "functional": "PBE-GGA", "state": "relaxed", "lattice_angstrom": [[-5.179, 5.179, 3.276], [5.179, -5.179, 3.276], [5.179, 5.179, -3.276]], "species": ["Pr", "Pr", "Pr", "Pr", "Th", "Bi", "Bi", "Bi", "Bi", "Bi"], "fractional_positions": [[0.099, 0.699, 0.798], [0.301, 0.099, 0.400], [0.699, 0.901, 0.600], [0.901, 0.301, 0.202], [0.500, 0.500, 0.000], [0.000, 0.000, 0.000], [0.203, 0.401, 0.604], [0.401, 0.797, 0.198], [0.599, 0.203, 0.802], [0.797, 0.599, 0.396]], "e_tot_ev_per_atom": -5.493, "total_magnetization_mub_per_cell": 0.000, "mass_density_g_cm3": 8.7, "dos_ef_per_ev_cell": 3.08, "sg": "No. 87"}

---

{"formula": "PrThBi2", "functional": "PBE-GGA", "state": "relaxed", "lattice_angstrom": [[5.872, 0.000, 0.000], [0.000, 5.872, 0.000], [0.000, 0.000, 3.604]], "species": ["Pr", "Th", "Bi", "Bi"], "fractional_positions": [[0.000, 0.000, 0.000], [0.500, 0.500, 0.000], [0.000, 0.500, 0.500], [0.500, 0.000, 0.500]], "e_tot_ev_per_atom": -5.611, "total_magnetization_mub_per_cell": 0.000, "de_polymorph_mev_per_atom": 156, "mass_density_g_cm3": 10.6, "dos_ef_per_ev_cell": 3.74, "sg": "No. 123"}

---

{"formula": "PrTh2Bi4", "functional": "PBE-GGA", "state": "relaxed", "lattice_angstrom": [[-4.835, 4.835, 4.870], [4.835, -4.835, 4.870], [4.835, 4.835, -4.870]], "species": ["Pr", "Pr", "Th", "Th", "Th", "Th", "Bi", "Bi", "Bi", "Bi", "Bi", "Bi", "Bi", "Bi"], "fractional_positions": [[0.000, 0.000, 0.000], [0.750, 0.250, 0.500], [0.250, 0.625, 0.125], [0.375, 0.500, 0.625], [0.500, 0.125, 0.875], [0.875, 0.750, 0.375], [0.128, 0.217, 0.749], [0.129, 0.718, 0.751], [0.282, 0.033, 0.411], [0.468, 0.379, 0.251], [0.621, 0.872, 0.089], [0.622, 0.871, 0.589], [0.783, 0.532, 0.911], [0.967, 0.378, 0.249]], "e_tot_ev_per_atom": -5.694, "total_magnetization_mub_per_cell": 0.000, "de_polymorph_mev_per_atom": 0, "mass_density_g_cm3": 10.5, "dos_ef_per_ev_cell": 8.24, "sg": "No. 122"}

---

{"formula": "PrThBi2", "functional": "PBE-GGA", "state": "relaxed", "lattice_angstrom": [[2.241, 1.294, 8.100], [-2.241, 1.294, 8.100], [0.000, -2.587, 8.100]], "species": ["Pr", "Th", "Bi", "Bi"], "fractional_positions": [[0.000, 0.000, 0.000], [0.171, 0.171, 0.171], [0.419, 0.419, 0.419], [0.587, 0.587, 0.587]], "e_tot_ev_per_atom": -5.679, "total_magnetization_mub_per_cell": 0.672, "de_polymorph_mev_per_atom": 88, "mass_density_g_cm3": 9.3, "dos_ef_per_ev_cell": 2.21, "sg": "No. 160"}

---

{"formula": "PrTh2Bi4", "functional": "PBE-GGA", "state": "relaxed", "lattice_angstrom": [[2.290, -7.663, 0.000], [2.290, 7.663, 0.000], [0.000, 0.000, 14.759]], "species": ["Pr", "Pr", "Th", "Th", "Th", "Th", "Bi", "Bi", "Bi", "Bi", "Bi", "Bi", "Bi", "Bi"], "fractional_positions": [[0.110, 0.890, 0.750], [0.890, 0.110, 0.250], [0.364, 0.636, 0.561], [0.364, 0.636, 0.939], [0.636, 0.364, 0.061], [0.636, 0.364, 0.439], [0.000, 0.000, 0.000], [0.000, 0.000, 0.500], [0.267, 0.733, 0.135], [0.267, 0.733, 0.365], [0.458, 0.542, 0.750], [0.542, 0.458, 0.250], [0.733, 0.267, 0.635], [0.733, 0.267, 0.865]], "e_tot_ev_per_atom": -5.471, "total_magnetization_mub_per_cell": 0.000, "de_polymorph_mev_per_atom": 223, "mass_density_g_cm3": 9.2, "dos_ef_per_ev_cell": 9.08, "sg": "No. 63"}

---

{"formula": "Pr5ThBi4", "functional": "PBE-GGA", "state": "relaxed", "lattice_angstrom": [[9.850, -2.273, 0.000], [9.850, 2.273, 0.000], [-2.381, 0.000, 8.592]], "species": ["Pr", "Pr", "Pr", "Pr", "Pr", "Th", "Bi", "Bi", "Bi", "Bi"], "fractional_positions": [[0.000, 0.000, 0.000], [0.320, 0.320, 0.150], [0.338, 0.338, 0.680], [0.662, 0.662, 0.320], [0.680, 0.680, 0.850], [0.000, 0.000, 0.500], [0.169, 0.169, 0.585], [0.490, 0.490, 0.242], [0.510, 0.510, 0.758], [0.831, 0.831, 0.415]], "e_tot_ev_per_atom": -5.201, "total_magnetization_mub_per_cell": 0.000, "mass_density_g_cm3": 7.6, "dos_ef_per_ev_cell": 7.74, "sg": "No. 12"}

---

{"formula": "Pr5Th3Bi8", "functional": "PBE-GGA", "state": "relaxed", "lattice_angstrom": [[4.625, 2.670, 7.550], [-4.625, 2.670, 7.550], [0.000, -5.341, 7.550]], "species": ["Pr", "Pr", "Pr", "Pr", "Pr", "Th", "Th", "Th", "Bi", "Bi", "Bi", "Bi", "Bi", "Bi", "Bi", "Bi"], "fractional_positions": [[0.000, 0.000, 0.000], [0.000, 0.500, 0.500], [0.500, 0.000, 0.500], [0.500, 0.500, 0.000], [0.500, 0.500, 0.500], [0.000, 0.000, 0.500], [0.000, 0.500, 0.000], [0.500, 0.000, 0.000], [0.248, 0.750, 0.750], [0.249, 0.249, 0.249], [0.250, 0.250, 0.752], [0.250, 0.752, 0.250], [0.750, 0.248, 0.750], [0.750, 0.750, 0.248], [0.751, 0.751, 0.751], [0.752, 0.250, 0.250]], "e_tot_ev_per_atom": -5.652, "total_magnetization_mub_per_cell": 0.000, "mass_density_g_cm3": 9.1, "dos_ef_per_ev_cell": 7.68, "sg": "No. 166"}

---

{"formula": "PrThBi2", "functional": "PBE-GGA", "state": "relaxed", "lattice_angstrom": [[-3.265, 3.265, 6.527], [3.265, -3.265, 6.527], [3.265, 3.265, -6.527]], "species": ["Pr", "Pr", "Th", "Th", "Bi", "Bi", "Bi", "Bi"], "fractional_positions": [[0.375, 0.625, 0.750], [0.625, 0.375, 0.250], [0.125, 0.875, 0.250], [0.875, 0.125, 0.750], [0.124, 0.374, 0.750], [0.374, 0.124, 0.250], [0.626, 0.876, 0.750], [0.876, 0.626, 0.250]], "e_tot_ev_per_atom": -5.767, "total_magnetization_mub_per_cell": 0.000, "de_polymorph_mev_per_atom": 0, "mass_density_g_cm3": 9.4, "dos_ef_per_ev_cell": 3.84, "sg": "No. 141"}

---

{"formula": "Pr2ThBi", "functional": "PBE-GGA", "state": "relaxed", "lattice_angstrom": [[1.807, 1.043, 12.391], [-1.807, 1.043, 12.391], [0.000, -2.086, 12.391]], "species": ["Pr", "Pr", "Th", "Bi"], "fractional_positions": [[0.088, 0.088, 0.088], [0.912, 0.912, 0.912], [0.500, 0.500, 0.500], [0.000, 0.000, 0.000]], "e_tot_ev_per_atom": -5.204, "total_magnetization_mub_per_cell": 0.000, "de_polymorph_mev_per_atom": 375, "mass_density_g_cm3": 8.6, "dos_ef_per_ev_cell": 4.64, "sg": "No. 166"}

---

{"formula": "Pr2ThBi", "functional": "PBE-GGA", "state": "relaxed", "lattice_angstrom": [[5.107, 0.000, 0.000], [0.000, 5.107, 0.000], [0.000, 0.000, 4.835]], "species": ["Pr", "Pr", "Th", "Bi"], "fractional_positions": [[0.000, 0.500, 0.000], [0.500, 0.000, 0.000], [0.000, 0.000, 0.500], [0.500, 0.500, 0.500]], "e_tot_ev_per_atom": -5.567, "total_magnetization_mub_per_cell": 0.000, "de_polymorph_mev_per_atom": 12, "mass_density_g_cm3": 9.5, "dos_ef_per_ev_cell": 3.86, "sg": "No. 123"}

---

{"formula": "PrThBi2", "functional": "PBE-GGA", "state": "relaxed", "lattice_angstrom": [[2.311, 1.334, 7.534], [-2.311, 1.334, 7.534], [0.000, -2.668, 7.534]], "species": ["Pr", "Th", "Bi", "Bi"], "fractional_positions": [[0.000, 0.000, 0.000], [0.500, 0.500, 0.500], [0.249, 0.249, 0.249], [0.751, 0.751, 0.751]], "e_tot_ev_per_atom": -5.764, "total_magnetization_mub_per_cell": 0.000, "de_polymorph_mev_per_atom": 3, "mass_density_g_cm3": 9.4, "dos_ef_per_ev_cell": 2.20, "sg": "No. 166"}

---

{"formula": "Pr3Th4Bi8", "functional": "PBE-GGA", "state": "relaxed", "lattice_angstrom": [[6.483, -6.507, 0.000], [6.483, 6.507, 0.000], [-6.470, 0.000, 6.525]], "species": ["Pr", "Pr", "Pr", "Th", "Th", "Th", "Th", "Bi", "Bi", "Bi", "Bi", "Bi", "Bi", "Bi", "Bi"], "fractional_positions": [[0.000, 0.000, 0.000], [0.000, 0.500, 0.000], [0.500, 0.000, 0.000], [0.000, 0.500, 0.500], [0.500, 0.000, 0.500], [0.500, 0.500, 0.000], [0.500, 0.500, 0.500], [0.244, 0.244, 0.503], [0.245, 0.755, 0.500], [0.249, 0.249, 0.993], [0.250, 0.750, 0.000], [0.750, 0.250, 0.000], [0.751, 0.751, 0.007], [0.755, 0.245, 0.500], [0.756, 0.756, 0.497]], "e_tot_ev_per_atom": -5.663, "total_magnetization_mub_per_cell": 0.000, "mass_density_g_cm3": 9.1, "dos_ef_per_ev_cell": 5.25, "sg": "No. 12"}